An optimized crystal structure of ReHgSe. Source: Alexandria via LeMat-Bulk, functional GGA-PBEsol.

Space-group type: P3m1 (156)
Formation energy from raw total energies (eV/atom): 0.24
DOS(E_F) (states/eV per atom): 0.669
Raw total energy (eV per atom): -5.680
Density (g/cm³): 13.9

Unit cell a=3.096 b=3.096 c=6.715 alpha=90.00 beta=90.00 gamma=120.00
Fractional positions:
Hg 0.000 0.000 0.975
Re 0.333 0.667 0.635
Se 0.667 0.333 0.390